[1]
{
  "formula": "CsPmZn2Cl8",
  "functional": "PBE",
  "state": "relaxed",
  "e_form_raw_ev_per_atom": -1.67,
  "lattice_angstrom": [[6.582, 0.000, 0.000], [3.291, 5.700, 0.000], [3.291, 1.900, 10.237]],
  "species": ["Cs", "Pm", "Zn", "Zn", "Cl", "Cl", "Cl", "Cl", "Cl", "Cl", "Cl", "Cl"],
  "frac_coords": [[0.500, 0.500, 0.500], [0.000, 0.000, 0.000], [0.253, 0.253, 0.240], [0.747, 0.747, 0.760], [0.182, 0.182, 0.455], [0.610, 0.283, 0.158], [0.818, 0.818, 0.545], [0.949, 0.610, 0.158], [0.051, 0.390, 0.842], [0.283, 0.949, 0.158], [0.717, 0.051, 0.842], [0.390, 0.717, 0.842]]
}



[2]
{
  "formula": "CsPr2Cl8",
  "functional": "PBE",
  "state": "relaxed",
  "e_form_raw_ev_per_atom": -2.04,
  "lattice_angstrom": [[5.381, 0.308, 0.463], [-0.456, 8.331, -0.328], [-0.456, -3.511, 7.562]],
  "species": ["Cs", "Pr", "Pr", "Cl", "Cl", "Cl", "Cl", "Cl", "Cl", "Cl", "Cl"],
  "frac_coords": [[0.500, 0.000, 0.000], [0.000, 0.303, 0.697], [0.000, 0.697, 0.303], [0.999, 0.945, 0.670], [0.999, 0.670, 0.945], [0.252, 0.500, 0.500], [0.500, 0.739, 0.261], [0.500, 0.261, 0.739], [0.748, 0.500, 0.500], [0.001, 0.330, 0.055], [0.001, 0.055, 0.330]]
}



[3]
{
  "formula": "Cs2PrCl5",
  "functional": "PBE",
  "state": "relaxed",
  "e_form_raw_ev_per_atom": -2.19,
  "lattice_angstrom": [[-5.090, -5.145, 4.902], [4.366, -7.415, -3.249], [9.297, 0.852, 10.548]],
  "species": ["Cs", "Cs", "Cs", "Cs", "Cs", "Cs", "Cs", "Cs", "Pr", "Pr", "Pr", "Pr", "Cl", "Cl", "Cl", "Cl", "Cl", "Cl", "Cl", "Cl", "Cl", "Cl", "Cl", "Cl", "Cl", "Cl", "Cl", "Cl", "Cl", "Cl", "Cl", "Cl"],
  "frac_coords": [[0.939, 0.006, 0.830], [0.061, 0.994, 0.170], [0.439, 0.994, 0.670], [0.061, 0.506, 0.170], [0.561, 0.006, 0.330], [0.939, 0.494, 0.830], [0.561, 0.494, 0.330], [0.439, 0.506, 0.670], [0.935, 0.750, 0.505], [0.065, 0.250, 0.495], [0.435, 0.250, 0.995], [0.565, 0.750, 0.005], [0.107, 0.750, 0.672], [0.893, 0.250, 0.328], [0.607, 0.250, 0.828], [0.393, 0.750, 0.172], [0.844, 0.042, 0.566], [0.156, 0.958, 0.434], [0.344, 0.958, 0.934], [0.156, 0.542, 0.434], [0.656, 0.042, 0.066], [0.844, 0.458, 0.566], [0.656, 0.458, 0.066], [0.344, 0.542, 0.934], [0.614, 0.750, 0.515], [0.386, 0.250, 0.485], [0.114, 0.250, 0.985], [0.886, 0.750, 0.015], [0.643, 0.750, 0.812], [0.357, 0.250, 0.188], [0.143, 0.250, 0.688], [0.857, 0.750, 0.312]]
}



[4]
{
  "formula": "Cs2PrCl5",
  "functional": "PBE",
  "state": "relaxed",
  "e_form_raw_ev_per_atom": -2.15,
  "lattice_angstrom": [[5.658, 0.000, 0.000], [-2.829, 8.833, 0.000], [0.000, 0.000, 15.564]],
  "species": ["Cs", "Cs", "Cs", "Cs", "Pr", "Pr", "Cl", "Cl", "Cl", "Cl", "Cl", "Cl", "Cl", "Cl", "Cl", "Cl"],
  "frac_coords": [[0.861, 0.721, 0.433], [0.861, 0.721, 0.067], [0.139, 0.279, 0.567], [0.139, 0.279, 0.933], [0.841, 0.682, 0.750], [0.159, 0.318, 0.250], [0.953, 0.906, 0.871], [0.953, 0.906, 0.629], [0.263, 0.527, 0.385], [0.263, 0.527, 0.115], [0.681, 0.363, 0.250], [0.319, 0.637, 0.750], [0.737, 0.473, 0.615], [0.737, 0.473, 0.885], [0.047, 0.094, 0.129], [0.047, 0.094, 0.371]]
}



[5]
{
  "formula": "CsPr2Cl7",
  "functional": "PBE",
  "state": "relaxed",
  "e_form_raw_ev_per_atom": -2.25,
  "lattice_angstrom": [[5.557, 0.000, 0.000], [0.000, 8.395, -0.038], [0.000, -3.738, 7.517]],
  "species": ["Cs", "Pr", "Pr", "Cl", "Cl", "Cl", "Cl", "Cl", "Cl", "Cl"],
  "frac_coords": [[0.000, 0.000, 0.000], [0.500, 0.696, 0.304], [0.500, 0.304, 0.696], [0.000, 0.710, 0.290], [0.000, 0.290, 0.710], [0.500, 0.048, 0.328], [0.500, 0.952, 0.672], [0.500, 0.328, 0.048], [0.500, 0.672, 0.952], [0.500, 0.500, 0.500]]
}



[6]
{
  "formula": "CsPr2Cl7",
  "functional": "PBE",
  "state": "relaxed",
  "e_form_raw_ev_per_atom": -2.27,
  "lattice_angstrom": [[9.832, 0.000, 0.000], [0.000, 15.176, 0.000], [0.000, 0.000, 17.048]],
  "species": ["Cs", "Cs", "Cs", "Cs", "Cs", "Cs", "Cs", "Cs", "Pr", "Pr", "Pr", "Pr", "Pr", "Pr", "Pr", "Pr", "Pr", "Pr", "Pr", "Pr", "Pr", "Pr", "Pr", "Pr", "Cl", "Cl", "Cl", "Cl", "Cl", "Cl", "Cl", "Cl", "Cl", "Cl", "Cl", "Cl", "Cl", "Cl", "Cl", "Cl", "Cl", "Cl", "Cl", "Cl", "Cl", "Cl", "Cl", "Cl", "Cl", "Cl", "Cl", "Cl", "Cl", "Cl", "Cl", "Cl", "Cl", "Cl", "Cl", "Cl", "Cl", "Cl", "Cl", "Cl", "Cl", "Cl", "Cl", "Cl", "Cl", "Cl", "Cl", "Cl", "Cl", "Cl", "Cl", "Cl", "Cl", "Cl", "Cl", "Cl"],
  "frac_coords": [[0.250, 0.917, 0.603], [0.750, 0.083, 0.397], [0.750, 0.583, 0.103], [0.250, 0.417, 0.897], [0.250, 0.578, 0.572], [0.750, 0.422, 0.428], [0.750, 0.922, 0.072], [0.250, 0.078, 0.928], [0.027, 0.747, 0.846], [0.973, 0.253, 0.154], [0.973, 0.753, 0.346], [0.527, 0.253, 0.154], [0.027, 0.247, 0.654], [0.473, 0.747, 0.846], [0.473, 0.247, 0.654], [0.527, 0.753, 0.346], [0.250, 0.714, 0.067], [0.750, 0.286, 0.933], [0.750, 0.786, 0.567], [0.250, 0.214, 0.433], [0.250, 0.518, 0.256], [0.750, 0.482, 0.744], [0.750, 0.982, 0.756], [0.250, 0.018, 0.244], [0.570, 0.920, 0.880], [0.430, 0.080, 0.120], [0.430, 0.580, 0.380], [0.070, 0.080, 0.120], [0.570, 0.420, 0.620], [0.930, 0.920, 0.880], [0.930, 0.420, 0.620], [0.070, 0.580, 0.380], [0.020, 0.770, 0.512], [0.980, 0.230, 0.488], [0.980, 0.730, 0.012], [0.520, 0.230, 0.488], [0.020, 0.270, 0.988], [0.480, 0.770, 0.512], [0.480, 0.270, 0.988], [0.520, 0.730, 0.012], [0.250, 0.793, 0.359], [0.750, 0.207, 0.641], [0.750, 0.707, 0.859], [0.250, 0.293, 0.141], [0.250, 0.749, 0.737], [0.750, 0.251, 0.263], [0.750, 0.751, 0.237], [0.250, 0.249, 0.763], [0.575, 0.830, 0.702], [0.425, 0.170, 0.298], [0.425, 0.670, 0.202], [0.075, 0.170, 0.298], [0.575, 0.330, 0.798], [0.925, 0.830, 0.702], [0.925, 0.330, 0.798], [0.075, 0.670, 0.202], [0.999, 0.574, 0.779], [0.001, 0.426, 0.221], [0.001, 0.926, 0.279], [0.499, 0.426, 0.221], [0.999, 0.074, 0.721], [0.501, 0.574, 0.779], [0.501, 0.074, 0.721], [0.499, 0.926, 0.279], [0.250, 0.529, 0.088], [0.750, 0.471, 0.912], [0.750, 0.971, 0.588], [0.250, 0.029, 0.412], [0.250, 0.879, 0.132], [0.750, 0.121, 0.868], [0.750, 0.621, 0.632], [0.250, 0.379, 0.368], [0.250, 0.844, 0.924], [0.750, 0.156, 0.076], [0.750, 0.656, 0.424], [0.250, 0.344, 0.576], [0.250, 0.636, 0.911], [0.750, 0.364, 0.089], [0.750, 0.864, 0.411], [0.250, 0.136, 0.589]]
}



[7]
{
  "formula": "CsPrCl2",
  "functional": "PBE",
  "state": "relaxed",
  "e_form_raw_ev_per_atom": -1.40,
  "lattice_angstrom": [[3.930, 0.000, 0.000], [1.965, 3.403, 0.000], [1.965, 1.134, 10.583]],
  "species": ["Pr", "Cs", "Cl", "Cl"],
  "frac_coords": [[0.500, 0.500, 0.500], [0.000, 0.000, 0.000], [0.105, 0.105, 0.684], [0.895, 0.895, 0.316]]
}



[8]
{
  "formula": "Cs5Pr2Cl12",
  "functional": "PBE",
  "state": "relaxed",
  "e_form_raw_ev_per_atom": -1.98,
  "lattice_angstrom": [[8.386, -0.120, 1.637], [1.044, 9.088, 3.927], [-0.253, 0.494, 9.940]],
  "species": ["Cs", "Cs", "Cs", "Cs", "Cs", "Pr", "Pr", "Cl", "Cl", "Cl", "Cl", "Cl", "Cl", "Cl", "Cl", "Cl", "Cl", "Cl", "Cl"],
  "frac_coords": [[0.027, 0.246, 0.246], [0.517, 0.364, 0.364], [0.500, 0.000, 0.000], [0.483, 0.636, 0.636], [0.973, 0.754, 0.754], [0.000, 0.730, 0.270], [0.000, 0.270, 0.730], [0.883, 0.062, 0.062], [0.222, 0.145, 0.563], [0.222, 0.563, 0.145], [0.779, 0.110, 0.695], [0.779, 0.695, 0.110], [0.836, 0.465, 0.465], [0.164, 0.535, 0.535], [0.221, 0.890, 0.305], [0.221, 0.305, 0.890], [0.778, 0.855, 0.437], [0.778, 0.437, 0.855], [0.117, 0.938, 0.938]]
}